Entry 1:
A plane-wave DFT calculation with PBE-GGA was carried out for SrBSe2Br after structural relaxation.

Structure (CIF):
```
data_SrBSe2Br
_cell_length_a 4.557
_cell_length_b 4.557
_cell_length_c 5.457
_cell_angle_alpha 90.00
_cell_angle_beta 90.00
_cell_angle_gamma 90.00
_space_group_name_H-M_alt 'P 4/m m m'
_space_group_IT_number 123
_space_group_name_Hall '-P 4 2'
loop_
_atom_site_label
_atom_site_fract_x
_atom_site_fract_y
_atom_site_fract_z
Sr1 0.000 0.000 0.000
B1 0.500 0.500 0.500
Se1 0.000 0.500 0.500
Br1 0.500 0.500 0.000
```

Summary:
energy above the most stable polymorph in this dataset	0	meV per atom
electronic total energy	-3.82	eV per atom
mass density	4.928	g/cm3
crystal system	tetragonal

=====

Entry 2:
A plane-wave DFT calculation with PBE-GGA was carried out for SrBSe2Br after structural relaxation.

Structure (CIF):
```
data_SrBSe2Br
_cell_length_a 5.984
_cell_length_b 5.984
_cell_length_c 5.863
_cell_angle_alpha 90.00
_cell_angle_beta 90.00
_cell_angle_gamma 90.00
_space_group_name_H-M_alt 'P 4/m m m'
_space_group_IT_number 123
_space_group_name_Hall '-P 4 2'
loop_
_atom_site_label
_atom_site_fract_x
_atom_site_fract_y
_atom_site_fract_z
Sr1 0.000 0.000 0.000
B1 0.500 0.500 0.500
Se1 0.000 0.500 0.000
Br1 0.000 0.000 0.500
```

Summary:
energy above the most stable polymorph in this dataset	1129	meV per atom
electronic total energy	-2.69	eV per atom
mass density	2.659	g/cm3
crystal system	tetragonal

=====

Entry 3:
A plane-wave DFT calculation with PBE-GGA was carried out for TcBSeBr2 after structural relaxation.

Structure (CIF):
```
data_TcBSeBr2
_cell_length_a 5.249
_cell_length_b 5.249
_cell_length_c 4.697
_cell_angle_alpha 90.00
_cell_angle_beta 90.00
_cell_angle_gamma 90.00
_space_group_name_H-M_alt 'P 4/m m m'
_space_group_IT_number 123
_space_group_name_Hall '-P 4 2'
loop_
_atom_site_label
_atom_site_fract_x
_atom_site_fract_y
_atom_site_fract_z
Tc1 0.000 0.000 0.000
B1 0.500 0.500 0.500
Se1 0.000 0.000 0.500
Br1 0.000 0.500 0.000
```

Summary:
energy above the most stable polymorph in this dataset	0	meV per atom
electronic total energy	-3.71	eV per atom
mass density	4.459	g/cm3
crystal system	tetragonal

=====

V: 22.66 41.99 25.89 (Å³/atom)
Uncorrected formation energy: -0.420 0.709 1.066 (eV/atom)